# Ag6SI2Br3

A geometry-optimized Ag6SI2Br3 structure (GGA-PBE, the Alexandria database).

The structure in POSCAR format:
```
Ag6SI2Br3
1.0
-5.3120 1.3347 4.5295
-2.1339 -1.3029 -6.6531
3.0320 -6.6281 2.4251
Ag S I Br
6 1 2 3
Cartesian
-2.8687 -5.4248 -1.4907
-5.5005 -1.4179 -1.2288
1.0864 -5.1783 1.5302
-1.5453 -1.1715 1.7921
-3.8466 -4.6133 1.9499
-0.5675 -1.9830 -1.6485
0.0000 0.0000 0.0000
-3.2009 -0.4174 -2.8990
-4.2451 0.4493 0.7754
-2.2070 -3.2981 0.1507
-3.2359 -2.4442 3.7711
-1.1781 -4.1521 -3.4697
```

As for the formation energy from raw total energies: -3.80 kcal/mol of atoms. The total energy is -31.332 eV for the cell shown. The space-group type is C2/m. As for the density of states at the Fermi level: 3.86 states/eV/f.u.